Entry 1:
Compound: RbBaTlBi
Source: Alexandria
Functional: PBE
Structure: optimized geometry

Calculated values
The density of states at the Fermi level is 11.88 states/eV per cell. Its total DFT energy (no corrections) is -2.651 eV per atom. As for the formation energy: -367 meV per atom.

Structure (CIF):
```
data_RbBaTlBi
_chemical_formula_sum 'Rb4 Ba4 Tl4 Bi4'
_symmetry_space_group_name_H-M 'F -4 3 m'
_symmetry_Int_Tables_number 216
_symmetry_space_group_name_Hall 'F -4 2 3'
_cell_length_a 8.704
_cell_length_b 8.704
_cell_length_c 8.704
_cell_angle_alpha 90.00
_cell_angle_beta 90.00
_cell_angle_gamma 90.00
loop_
_atom_site_label
_atom_site_type_symbol
_atom_site_fract_x
_atom_site_fract_y
_atom_site_fract_z
_atom_site_occupancy
Rb1 Rb 0.000 0.000 0.000 1
Ba1 Ba 0.000 0.000 0.500 1
Tl1 Tl 0.250 0.250 0.750 1
Bi1 Bi 0.250 0.250 0.250 1
```

***

Entry 2:
Compound: RbBaBiW2
Source: Alexandria
Functional: PBE
Structure: optimized geometry

Calculated values
The density of states at the Fermi level is 3.18 states/eV per cell. Its total DFT energy (no corrections) is -4.584 eV per atom. As for the formation energy: 1952 meV per atom.

Structure (CIF):
```
data_RbBaBiW2
_chemical_formula_sum 'Rb1 Ba1 Bi1 W2'
_symmetry_space_group_name_H-M 'P 4/m m m'
_symmetry_Int_Tables_number 123
_symmetry_space_group_name_Hall '-P 4 2'
_cell_length_a 5.268
_cell_length_b 5.268
_cell_length_c 6.470
_cell_angle_alpha 90.00
_cell_angle_beta 90.00
_cell_angle_gamma 90.00
loop_
_atom_site_label
_atom_site_type_symbol
_atom_site_fract_x
_atom_site_fract_y
_atom_site_fract_z
_atom_site_occupancy
Rb1 Rb 0.000 0.000 0.000 1
Ba1 Ba 0.500 0.500 0.000 1
Bi1 Bi 0.500 0.500 0.500 1
W1 W 0.000 0.500 0.500 1
```

***

Entry 3:
Compound: Rb2Ba2ZnBi4
Source: Alexandria
Functional: PBE
Structure: optimized geometry

Calculated values
The density of states at the Fermi level is 5.31 states/eV per cell. Its total DFT energy (no corrections) is -2.916 eV per atom. As for the formation energy: -408 meV per atom.

Structure (CIF):
```
data_Rb2Ba2ZnBi4
_chemical_formula_sum 'Rb4 Ba4 Zn2 Bi8'
_symmetry_space_group_name_H-M 'I 4/m m m'
_symmetry_Int_Tables_number 139
_symmetry_space_group_name_Hall '-I 4 2'
_cell_length_a 8.118
_cell_length_b 8.118
_cell_length_c 10.579
_cell_angle_alpha 90.00
_cell_angle_beta 90.00
_cell_angle_gamma 90.00
loop_
_atom_site_label
_atom_site_type_symbol
_atom_site_fract_x
_atom_site_fract_y
_atom_site_fract_z
_atom_site_occupancy
Rb1 Rb 0.000 0.000 0.202 1
Ba1 Ba 0.000 0.500 0.250 1
Zn1 Zn 0.000 0.000 0.500 1
Bi1 Bi 0.243 0.243 0.500 1
```

***

Entry 4:
Compound: BaReBi2
Source: Alexandria
Functional: PBE
Structure: optimized geometry

Calculated values
The density of states at the Fermi level is 12.02 states/eV per cell. As for the energy relative to the lowest polymorph listed for this composition: 0.00 kJ per mole of atoms. Its total DFT energy (no corrections) is -4.986 eV per atom. As for the formation energy: 547 meV per atom.

Structure (CIF):
```
data_BaReBi2
_chemical_formula_sum 'Ba4 Re4 Bi8'
_symmetry_space_group_name_H-M 'I -4 2 d'
_symmetry_Int_Tables_number 122
_symmetry_space_group_name_Hall 'I -4 2bw'
_cell_length_a 6.511
_cell_length_b 6.511
_cell_length_c 15.481
_cell_angle_alpha 90.00
_cell_angle_beta 90.00
_cell_angle_gamma 90.00
loop_
_atom_site_label
_atom_site_type_symbol
_atom_site_fract_x
_atom_site_fract_y
_atom_site_fract_z
_atom_site_occupancy
Ba1 Ba 0.000 0.000 0.000 1
Re1 Re 0.000 0.000 0.500 1
Bi1 Bi 0.116 0.250 0.625 1
```

***

Entry 5:
Compound: BaRe2Bi
Source: Alexandria
Functional: PBE
Structure: optimized geometry

Calculated values
The density of states at the Fermi level is 22.49 states/eV per cell. Its total DFT energy (no corrections) is -5.870 eV per atom. As for the formation energy: 1805 meV per atom.

Structure (CIF):
```
data_BaRe2Bi
_chemical_formula_sum 'Ba4 Re8 Bi4'
_symmetry_space_group_name_H-M 'I -4 2 d'
_symmetry_Int_Tables_number 122
_symmetry_space_group_name_Hall 'I -4 2bw'
_cell_length_a 8.235
_cell_length_b 8.235
_cell_length_c 6.228
_cell_angle_alpha 90.00
_cell_angle_beta 90.00
_cell_angle_gamma 90.00
loop_
_atom_site_label
_atom_site_type_symbol
_atom_site_fract_x
_atom_site_fract_y
_atom_site_fract_z
_atom_site_occupancy
Ba1 Ba 0.000 0.000 0.000 1
Re1 Re 0.195 0.750 0.625 1
Bi1 Bi 0.000 0.000 0.500 1
```

***

Entry 6:
Compound: Ba3ReBi
Source: Alexandria
Functional: PBE
Structure: optimized geometry

Calculated values
The density of states at the Fermi level is 5.16 states/eV per cell. As for the energy relative to the lowest polymorph listed for this composition: 0.00 kJ per mole of atoms. Its total DFT energy (no corrections) is -4.086 eV per atom. As for the formation energy: 333 meV per atom.

Structure (CIF):
```
data_Ba3ReBi
_chemical_formula_sum 'Ba3 Re1 Bi1'
_symmetry_space_group_name_H-M 'P m -3 m'
_symmetry_Int_Tables_number 221
_symmetry_space_group_name_Hall '-P 4 2 3'
_cell_length_a 5.829
_cell_length_b 5.829
_cell_length_c 5.829
_cell_angle_alpha 90.00
_cell_angle_beta 90.00
_cell_angle_gamma 90.00
loop_
_atom_site_label
_atom_site_type_symbol
_atom_site_fract_x
_atom_site_fract_y
_atom_site_fract_z
_atom_site_occupancy
Ba1 Ba 0.000 0.000 0.500 1
Re1 Re 0.000 0.000 0.000 1
Bi1 Bi 0.500 0.500 0.500 1
```

***

Question: Number 6 is which compound?
Answer: Ba3ReBi